VASP calculation (GGA-PBE) on crystalline Mg2In at its relaxed geometry. Values from VASP.

Properties
DFT total energy in eV/atom: -2.0488
Crystal system: orthorhombic
Calculated volume in A^3/atom: 23.1
Energy relative to the elements in meV per atom: -73

```
&SYSTEM
  ibrav = 0, nat = 6, ntyp = 2
/
ATOMIC_SPECIES
In 114.82 In.upf
Mg 24.30 Mg.upf
CELL_PARAMETERS angstrom
7.168 0.009 0.000
-5.786 4.232 0.000
0.000 0.000 4.564
ATOMIC_POSITIONS crystal
In 0.090 0.910 0.750
Mg 0.749 0.251 0.750
In 0.910 0.090 0.250
Mg 0.418 0.582 0.750
Mg 0.251 0.749 0.250
Mg 0.582 0.418 0.250
```